KRu: relaxed, GGA-PBE.

a b c (Å): 12.467 12.467 4.125
angles (deg): 90.00 90.00 90.00
Fractional positions:
1 K 0.002 0.708 0.000
2 K 0.292 0.002 0.000
3 K 0.327 0.327 0.500
4 K 0.327 0.673 0.500
5 K 0.673 0.327 0.500
6 K 0.673 0.673 0.500
7 K 0.708 0.998 0.000
8 K 0.998 0.292 0.000
9 Ru 0.097 0.488 0.500
10 Ru 0.177 0.504 0.000
11 Ru 0.488 0.903 0.500
12 Ru 0.496 0.177 0.000
13 Ru 0.504 0.823 0.000
14 Ru 0.512 0.097 0.500
15 Ru 0.823 0.496 0.000
16 Ru 0.903 0.512 0.500

Calculated values
Its symmetry is P4/m, No. 83. The calculation puts the formation energy at 0.888 eV per atom. For the volume, the calculation gives 641.16 Å³/cell.



K4Ru: relaxed, GGA-PBE.

a b c (Å): 6.487 6.487 6.487
angles (deg): 90.00 90.00 90.00
Fractional positions:
1 K 0.000 0.000 0.000
2 K 0.000 0.500 0.500
3 K 0.500 0.000 0.500
4 K 0.500 0.500 0.000
5 Ru 0.500 0.500 0.500

Calculated values
Its symmetry is Pm-3m, No. 221. The calculation puts the formation energy at 0.816 eV per atom. For the volume, the calculation gives 273.02 Å³/cell.



KRu: relaxed, GGA-PBE.

a b c (Å): 14.881 2.939 7.928
angles (deg): 90.00 105.58 90.00
Fractional positions:
1 K 0.000 0.000 0.000
2 K 0.031 0.000 0.472
3 K 0.238 0.500 0.849
4 K 0.500 0.500 0.000
5 K 0.531 0.500 0.472
6 K 0.738 0.000 0.849
7 Ru 0.204 0.500 0.315
8 Ru 0.323 0.000 0.529
9 Ru 0.328 0.000 0.241
10 Ru 0.704 0.000 0.315
11 Ru 0.823 0.500 0.529
12 Ru 0.828 0.500 0.241

Calculated values
Its symmetry is Cm, No. 8. The calculation puts the formation energy at 0.999 eV per atom. For the volume, the calculation gives 333.97 Å³/cell.



KRu: relaxed, GGA-PBE.

a b c (Å): 3.947 8.185 11.021
angles (deg): 90.00 90.00 90.00
Fractional positions:
1 K 0.250 0.068 0.171
2 K 0.250 0.432 0.171
3 K 0.250 0.750 0.293
4 K 0.750 0.250 0.707
5 K 0.750 0.568 0.829
6 K 0.750 0.932 0.829
7 Ru 0.250 0.250 0.491
8 Ru 0.250 0.561 0.558
9 Ru 0.250 0.939 0.558
10 Ru 0.750 0.061 0.442
11 Ru 0.750 0.439 0.442
12 Ru 0.750 0.750 0.509

Calculated values
Its symmetry is Pmmn, No. 59. The calculation puts the formation energy at 0.693 eV per atom. For the volume, the calculation gives 356.00 Å³/cell.